A plane-wave DFT calculation with GGA-PBE was carried out for a relaxed structure of Cu8Re.

Output
As for the crystal system: tetragonal. The density of states at the Fermi level is 0.732 states/eV/atom. The calculation puts the formation enthalpy at 0 K at 190 meV/atom. As for the volume: 12.44 A^3/atom. The final energy comes out at -43.51 eV/cell. Its density is 10305 kg/m3.

```
Cu8Re
1.0
-4.609 4.609 1.317
4.609 -4.609 1.317
4.609 4.609 -1.317
Cu Re
8 1
direct
0.329 0.671 0.000
0.667 0.000 0.667
0.671 0.671 0.341
0.671 0.329 0.000
0.329 0.329 0.659
0.000 0.333 0.333
0.000 0.667 0.667
0.333 0.000 0.333
0.000 0.000 0.000
```